# 1
# TaAg2AuSe4, relaxed, DFT PBE
data_TaAg2AuSe4
_symmetry_space_group_name_H-M 'F m m 2'
_symmetry_Int_Tables_number 42
_symmetry_space_group_name_Hall 'F 2 -2'
_cell_length_a 8.489
_cell_length_b 8.499
_cell_length_c 12.055
_cell_angle_alpha 90.00
_cell_angle_beta 90.00
_cell_angle_gamma 90.00
loop_
_atom_site_label
_atom_site_type_symbol
_atom_site_fract_x
_atom_site_fract_y
_atom_site_fract_z
_atom_site_occupancy
Ta1 Ta 0.000 0.000 0.000 1
Ag1 Ag 0.250 0.250 0.250 1
Au1 Au 0.000 0.000 0.501 1
Se1 Se 0.000 0.234 0.117 1
Se2 Se 0.235 0.000 0.883 1
# total DFT energy (no corrections) = -4.608 eV per atom
# energy relative to the elements, uncorrected = -2.1 eV/f.u.


# 2
# Ag2TeAuSe4, relaxed, DFT PBE
data_Ag2TeAuSe4
_symmetry_space_group_name_H-M 'C 1 2/c 1'
_symmetry_Int_Tables_number 15
_cell_length_a 11.558
_cell_length_b 11.097
_cell_length_c 8.310
_cell_angle_alpha 90.00
_cell_angle_beta 133.64
_cell_angle_gamma 90.00
loop_
_symmetry_equiv_pos_as_xyz
'x,y,z'
'-x,-y,-z'
'-x,y,-z+1/2'
'x,-y,z+1/2'
'x+1/2,y+1/2,z'
'-x+1/2,-y+1/2,-z'
'-x+1/2,y+1/2,-z+1/2'
'x+1/2,-y+1/2,z+1/2'
loop_
_atom_site_label
_atom_site_type_symbol
_atom_site_fract_x
_atom_site_fract_y
_atom_site_fract_z
_atom_site_occupancy
Ag1 Ag 0.000 0.000 0.000 1
Ag2 Ag 0.250 0.250 0.000 1
Te1 Te 0.000 0.500 0.000 1
Au1 Au 0.250 0.250 0.500 1
Se1 Se 0.067 0.244 0.574 1
Se2 Se 0.248 0.021 0.534 1
# total DFT energy (no corrections) = -3.280 eV per atom
# energy relative to the elements, uncorrected = -0.2 eV/f.u.